Density functional theory data (PBE) for a relaxed structure of ScCdSb2.

Calculated values
As for the total magnetization: 0.000 Bohr magnetons per cell. As for the raw formation energy: -17 kJ/mol of atoms. For the density of states at the Fermi level, the calculation gives 2.0 states/eV/cell.

Cell lengths 3.2115, 3.2115, 9.9530 Å; angles 90.00, 90.00, 90.00 degrees
Sites, in units of the cell vectors:
Sc: 0.0000 0.0000 0.0000
Cd: 0.5000 0.5000 0.2198
Sb: 0.0000 0.0000 0.4548
Sb: 0.5000 0.5000 0.7876